Arrangement i

Crystalline CaMgI3 at its relaxed geometry, computed with PBE.

Unit cell a=6.1090 b=6.1090 c=6.1090 alpha=90.00 beta=90.00 gamma=90.00
Last column: nearest neighbours and their distance in Å.
Fractional positions:
Ca 0.0000 0.0000 0.0000  6 I 3.05
Mg 0.5000 0.5000 0.5000  12 I 4.32
I 0.0000 0.0000 0.5000  2 Ca 3.05
I 0.0000 0.5000 0.0000  2 Ca 3.05
I 0.5000 0.0000 0.0000  2 Ca 3.05

## Properties
Magnetization: 0.200 μB per atom
Calculated volume: 45.60 Å³/atom
Space group: Pm-3m (221)
D(E_F): 0.19 states/eV per cell

Arrangement ii

Crystalline CaMgI3 at its relaxed geometry, computed with PBE.

Unit cell a=5.7357 b=5.7357 c=5.7357 alpha=90.00 beta=90.00 gamma=90.00
Last column: nearest neighbours and their distance in Å.
Fractional positions:
Ca 0.0000 0.0000 0.0000  12 I 4.06
Mg 0.5000 0.5000 0.5000  6 I 2.87
I 0.0000 0.5000 0.5000  2 Mg 2.87
I 0.5000 0.0000 0.5000  2 Mg 2.87
I 0.5000 0.5000 0.0000  2 Mg 2.87

## Properties
Magnetization: 0.000 μB per atom
Calculated volume: 37.74 Å³/atom
Space group: Pm-3m (221)
D(E_F): 2.37 states/eV per cell

The structure shown above that is least stable: arrangement ii.